No. 1
A relaxed structure of NdAlH2O4, computed with PBE-GGA.

extended XYZ file:
```
8
Lattice="-0.802 -1.656 -4.079 -2.122 -4.255 -0.310 -4.323 0.688 -1.884" Properties=species:S:1:pos:R:3 pbc="T T T"
Nd 0.000 0.000 0.000
Al -3.624 -2.612 -3.136
O -5.123 -2.758 -4.126
O -2.698 -1.178 -2.556
O -2.564 -3.372 -4.380
O -4.110 -3.138 -1.483
H -4.989 -3.766 -4.854
H -2.258 -1.457 -1.419
```

space group = I222
total DFT energy (no corrections) = -6.622 eV per atom

No. 2
A relaxed structure of NdAlHPt2, computed with PBE-GGA.

extended XYZ file:
```
10
Lattice="-2.308 -2.738 -1.631 5.615 -1.053 -1.433 0.746 -4.218 6.024" Properties=species:S:1:pos:R:3 pbc="T T T"
Pt 1.942 -3.260 -2.022
Pt 1.821 -3.106 2.636
Pt 2.233 -4.903 0.324
Pt 2.112 -4.749 4.982
H 0.000 0.000 0.000
H 0.373 -2.109 3.012
Al 2.648 -2.390 0.266
Al 1.406 -5.618 2.694
Nd -0.453 -2.702 0.431
Nd 4.507 -5.306 2.529
```

space group = Cmcm
total DFT energy (no corrections) = -5.743 eV per atom

No. 3
A relaxed structure of Al2NiH2, computed with PBE-GGA.

extended XYZ file:
```
5
Lattice="2.807 0.000 0.000 0.000 2.807 0.000 1.403 1.403 5.864" Properties=species:S:1:pos:R:3 pbc="T T T"
Al 1.403 1.403 1.548
Al 2.807 2.807 4.316
Ni 0.000 0.000 0.000
H 2.807 1.403 2.932
H 1.403 2.807 2.932
```

space group = I4/mmm
distance to the lowest polymorph of the same formula = 0.000 eV/atom

No. 4
A relaxed structure of AlNi3H, computed with PBE-GGA.

extended XYZ file:
```
20
Lattice="-9.557 1.144 -0.480 -4.121 -1.529 -4.606 3.542 -5.288 -0.125" Properties=species:S:1:pos:R:3 pbc="T T T"
H -7.940 -3.020 -4.088
H -10.971 -2.158 -4.961
H -2.195 -2.653 -1.123
H 0.836 -3.516 -0.250
Ni -7.092 -1.461 -4.318
Ni -8.040 -2.790 -2.333
Ni -8.827 -4.621 -3.894
Ni -2.095 -2.883 -2.879
Ni -1.649 -5.083 -4.110
Ni -3.996 -4.575 -3.225
Ni -6.374 -3.889 -3.919
Ni -8.486 -0.590 -1.101
Ni -3.761 -1.785 -1.292
Ni -3.043 -4.213 -0.893
Ni -1.308 -1.053 -1.317
Ni -6.139 -1.099 -1.986
Al -5.541 -3.489 -1.605
Al -4.594 -2.184 -3.606
Al -9.318 -0.970 -3.401
Al -0.817 -4.703 -1.810
```

space group = C2/c
distance to the lowest polymorph of the same formula = 0.180 eV/atom